No. 1
VASP calculation (PBE-GGA) on a relaxed DyYIn4Ir2 crystal.

a b c (Å): 8.007 5.554 5.554
angles (deg): 45.87 90.00 90.00
Sites, in units of the cell vectors:
Ir  0.500  0.279  0.279
Ir  0.000  0.721  0.721
In  0.800  0.142  0.142
In  0.700  0.858  0.858
In  0.200  0.142  0.142
In  0.300  0.858  0.858
Y  0.500  0.572  0.572
Dy  0.000  0.428  0.428

Energy   -5.51 eV per atom
Crystal system   orthorhombic

=====

No. 2
VASP calculation (PBE-GGA) on a relaxed PmZrAg crystal.

a b c (Å): 4.806 4.806 4.806
angles (deg): 60.00 60.00 60.00
Sites, in units of the cell vectors:
Pm  0.750  0.750  0.750
Ag  0.250  0.250  0.250
Zr  0.000  0.000  0.000

Energy   -4.69 eV per atom
Offset from the most stable computed form   0.0000 eV per atom
Energy of formation   0.6870 eV/atom
Crystal system   cubic

=====

No. 3
VASP calculation (PBE-GGA) on a relaxed DyYCu2 crystal.

a b c (Å): 4.447 5.380 7.109
angles (deg): 90.00 90.00 90.00
Sites, in units of the cell vectors:
Y  0.500  0.383  0.819
Y  0.500  0.617  0.319
Cu  0.500  0.876  0.966
Cu  0.500  0.124  0.466
Cu  0.000  0.374  0.534
Cu  0.000  0.626  0.034
Dy  0.000  0.882  0.681
Dy  0.000  0.118  0.181

Energy   -4.89 eV per atom
Offset from the most stable computed form   0.0000 eV per atom
Energy of formation   -0.2599 eV/atom
Crystal system   orthorhombic

=====

No. 4
VASP calculation (PBE-GGA) on a relaxed TeMoS3Br crystal.

a b c (Å): 6.311 7.380 8.228
angles (deg): 114.29 102.00 101.35
Sites, in units of the cell vectors:
Te  0.374  0.819  0.687
Te  0.626  0.181  0.313
S  0.900  0.690  0.891
S  0.978  0.120  0.821
S  0.475  0.805  0.077
S  0.100  0.310  0.109
S  0.022  0.880  0.179
S  0.525  0.195  0.923
Br  0.758  0.619  0.432
Br  0.242  0.381  0.568
Mo  0.222  0.000  0.000
Mo  0.778  0.000  0.000

Energy   -5.10 eV per atom
Offset from the most stable computed form   0.0000 eV per atom
Crystal system   triclinic

=====

No. 5
VASP calculation (PBE-GGA) on a relaxed YInCoHg crystal.

a b c (Å): 4.887 4.887 4.887
angles (deg): 60.00 60.00 60.00
Sites, in units of the cell vectors:
Co  0.750  0.750  0.750
Y  0.500  0.500  0.500
In  0.000  0.000  0.000
Hg  0.250  0.250  0.250

Energy   -4.23 eV per atom
Offset from the most stable computed form   0.0000 eV per atom
Crystal system   cubic

=====

No. 6
VASP calculation (PBE-GGA) on a relaxed GdScTa crystal.

a b c (Å): 4.852 4.852 4.852
angles (deg): 60.00 60.00 60.00
Sites, in units of the cell vectors:
Ta  0.750  0.750  0.750
Gd  0.250  0.250  0.250
Sc  0.000  0.000  0.000

Energy   -6.44 eV per atom
Energy of formation   1.1734 eV/atom
Crystal system   cubic

=====

No. 7
VASP calculation (PBE-GGA) on a relaxed ScCoSi2 crystal.

a b c (Å): 4.318 4.318 4.318
angles (deg): 60.00 60.00 60.00
Sites, in units of the cell vectors:
Si  0.750  0.750  0.750
Si  0.000  0.000  0.000
Co  0.250  0.250  0.250
Sc  0.500  0.500  0.500

Energy   -6.26 eV per atom
Crystal system   cubic

=====

No. 8
VASP calculation (PBE-GGA) on a relaxed Rb2Re crystal.

a b c (Å): 7.071 7.071 7.071
angles (deg): 60.00 60.00 60.00
Sites, in units of the cell vectors:
Rb  0.625  0.625  0.125
Rb  0.625  0.125  0.625
Rb  0.625  0.625  0.625
Rb  0.125  0.625  0.625
Re  0.000  0.000  0.000
Re  0.250  0.250  0.250

Energy   -2.46 eV per atom
Crystal system   cubic

=====

> Which of these has the highest energy?

Rb2Re

=====

> Which of these has the highest energy?

Rb2Re

=====

> Which formula does entry 8 have?

Rb2Re